Ho3Ag2Ir GGA-PBE relaxed; magnetization = 0.00 μB/cell; calculated total energy = -5.087 eV/atom
1.0
6.9008 -2.8780 0.0000
6.9008 2.8780 0.0000
-2.3328 0.0000 7.6973
Ho Ag Ir
6 4 2
Direct
0.0009 0.9991 0.7500
0.3577 0.3630 0.9305
0.3630 0.3577 0.4305
0.6370 0.6423 0.5695
0.6423 0.6370 0.0695
0.9991 0.0009 0.2500
0.1802 0.1859 0.5918
0.1859 0.1802 0.0918
0.8141 0.8198 0.9082
0.8198 0.8141 0.4082
0.4991 0.5009 0.2500
0.5009 0.4991 0.7500